Computed, not measured: crystalline NaTm2PaO6 at its relaxed geometry at the GGA-PBE level of DFT.

Output
Crystal system: trigonal
Fermi-level density of states: 0.000 states/eV per atom
Formation energy (no corrections): -3323 meV/atom

The structure in CIF format:
```
data_NaTm2PaO6
_chemical_formula_sum 'Na3 Tm6 Pa3 O18'
_symmetry_space_group_name_H-M 'R 3'
_symmetry_Int_Tables_number 146
_symmetry_space_group_name_Hall 'R 3'
_cell_length_a 5.8264
_cell_length_b 5.8264
_cell_length_c 15.2127
_cell_angle_alpha 90.00
_cell_angle_beta 90.00
_cell_angle_gamma 120.00
loop_
_atom_site_label
_atom_site_type_symbol
_atom_site_fract_x
_atom_site_fract_y
_atom_site_fract_z
Na1 Na 0.0000 0.0000 0.0000
Tm1 Tm 0.0000 0.0000 0.2719
Tm2 Tm 0.0000 0.0000 0.7795
Pa1 Pa 0.0000 0.0000 0.4822
O1 O 0.0059 0.3172 0.8727
O2 O 0.0398 0.6238 0.0503
```

=====

Computed, not measured: crystalline YMgB at its relaxed geometry at the GGA-PBE level of DFT.

Output
Crystal system: orthorhombic
Offset from the most stable computed form: 0.5300 eV/atom
Fermi-level density of states: 0.293 states/eV per atom
ΔH_f (0 K): 24.5 kJ/mol of atoms

The structure in CIF format:
```
data_YMgB
_chemical_formula_sum 'Y4 Mg4 B4'
_symmetry_space_group_name_H-M 'P n m a'
_symmetry_Int_Tables_number 62
_symmetry_space_group_name_Hall '-P 2ac 2n'
_cell_length_a 6.0198
_cell_length_b 5.9832
_cell_length_c 6.3103
_cell_angle_alpha 90.00
_cell_angle_beta 90.00
_cell_angle_gamma 90.00
loop_
_atom_site_label
_atom_site_type_symbol
_atom_site_fract_x
_atom_site_fract_y
_atom_site_fract_z
Y1 Y 0.1661 0.2500 0.1784
Mg1 Mg 0.2356 0.2500 0.6950
B1 B 0.0000 0.0000 0.5000
```

=====

Computed, not measured: crystalline ScTa2Cu at its relaxed geometry at the GGA-PBE level of DFT.

Output
Crystal system: orthorhombic
Offset from the most stable computed form: 0.0087 eV/atom
Fermi-level density of states: 0.943 states/eV per atom
ΔH_f (0 K): 7.3 kJ/mol of atoms

The structure in CIF format:
```
data_ScTa2Cu
_chemical_formula_sum 'Sc2 Ta4 Cu2'
_symmetry_space_group_name_H-M 'C m m 2'
_symmetry_Int_Tables_number 35
_symmetry_space_group_name_Hall 'C 2 -2'
_cell_length_a 3.6899
_cell_length_b 4.4109
_cell_length_c 8.6946
_cell_angle_alpha 90.00
_cell_angle_beta 90.00
_cell_angle_gamma 90.00
loop_
_atom_site_label
_atom_site_type_symbol
_atom_site_fract_x
_atom_site_fract_y
_atom_site_fract_z
Sc1 Sc 0.0000 0.0000 0.0000
Ta1 Ta 0.0000 0.0000 0.5386
Ta2 Ta 0.0000 0.5000 0.2793
Cu1 Cu 0.0000 0.5000 0.7633
```

=====

Computed, not measured: crystalline LiGdMgNi at its relaxed geometry at the GGA-PBE level of DFT.

Output
Crystal system: cubic
Fermi-level density of states: 0.876 states/eV per atom
ΔH_f (0 K): -12.5 kJ/mol of atoms

The structure in CIF format:
```
data_LiGdMgNi
_chemical_formula_sum 'Li4 Gd4 Mg4 Ni4'
_symmetry_space_group_name_H-M 'F -4 3 m'
_symmetry_Int_Tables_number 216
_symmetry_space_group_name_Hall 'F -4 2 3'
_cell_length_a 6.7139
_cell_length_b 6.7139
_cell_length_c 6.7139
_cell_angle_alpha 90.00
_cell_angle_beta 90.00
_cell_angle_gamma 90.00
loop_
_atom_site_label
_atom_site_type_symbol
_atom_site_fract_x
_atom_site_fract_y
_atom_site_fract_z
Li1 Li 0.0000 0.0000 0.0000
Gd1 Gd 0.2500 0.2500 0.2500
Mg1 Mg 0.2500 0.2500 0.7500
Ni1 Ni 0.0000 0.0000 0.5000
```

=====

Computed, not measured: crystalline Yb2TlIn at its relaxed geometry at the GGA-PBE level of DFT.

Output
Crystal system: cubic
Fermi-level density of states: 0.559 states/eV per atom
ΔH_f (0 K): -47.4 kJ/mol of atoms

The structure in CIF format:
```
data_Yb2TlIn
_chemical_formula_sum 'Yb8 Tl4 In4'
_symmetry_space_group_name_H-M 'F m -3 m'
_symmetry_Int_Tables_number 225
_symmetry_space_group_name_Hall '-F 4 2 3'
_cell_length_a 7.6698
_cell_length_b 7.6698
_cell_length_c 7.6698
_cell_angle_alpha 90.00
_cell_angle_beta 90.00
_cell_angle_gamma 90.00
loop_
_atom_site_label
_atom_site_type_symbol
_atom_site_fract_x
_atom_site_fract_y
_atom_site_fract_z
Yb1 Yb 0.2500 0.2500 0.2500
Tl1 Tl 0.0000 0.0000 0.0000
In1 In 0.0000 0.0000 0.5000
```

=====

Q: Which of these has the highest Fermi-level density of states?
A: ScTa2Cu